A relaxed Ba3NdN3 crystal, computed with PBE.

V = 25.698 Å³ per atom
Symmetry = Cmcm, No. 63
ΔE to the lowest computed polymorph = 0.000 eV/atom

Lattice parameters (Å, degrees): 7.8366 5.8806 7.8387 90.00 95.17 90.00
Last column: nearest neighbours and their distance in Å.
Atoms (fractional coordinates):
N1 0.8649 0.7500 0.6351  1 Nd 2.31
N2 0.1351 0.2500 0.3649  1 Nd 2.31
N3 0.8382 0.7500 0.0963  1 Nd 2.35
Nd1 0.6651 0.7500 0.8347  3 N 2.31-2.36
Nd2 0.3349 0.2500 0.1653  3 N 2.31-2.36
Ba1 0.1044 0.7500 0.3958  5 N 2.77-3.00
Ba2 0.1382 0.7500 0.8822  5 N 2.76-3.01
Ba3 0.8956 0.2500 0.6042  5 N 2.77-3.00
N4 0.4033 0.7500 0.6615  1 Nd 2.36
N5 0.5967 0.2500 0.3385  1 Nd 2.36
Ba4 0.8618 0.2500 0.1178  5 N 2.76-3.01
Ba5 0.3821 0.2500 0.6383  5 N 2.76-3.01
N6 0.1618 0.2500 0.9037  1 Nd 2.35
Ba6 0.6179 0.7500 0.3617  5 N 2.76-3.01

***

A relaxed BaNdNO crystal, computed with PBE.

V = 20.857 Å³ per atom
Symmetry = P4/nmm, No. 129
ΔE to the lowest computed polymorph = 0.169 eV/atom

Lattice parameters (Å, degrees): 5.1027 5.1027 6.4082 90.00 90.00 90.00
Last column: nearest neighbours and their distance in Å.
Atoms (fractional coordinates):
N1 0.2500 0.2500 0.6365  1 Nd 2.13
Nd1 0.7500 0.7500 0.0319  1 N 2.13
Ba1 0.2500 0.7500 0.5000  4 N 2.70
Ba2 0.7500 0.2500 0.5000  4 N 2.70
O1 0.7500 0.2500 0.0000  4 Nd 2.56
O2 0.2500 0.7500 0.0000  4 Nd 2.56
Nd2 0.2500 0.2500 0.9681  1 N 2.13
N2 0.7500 0.7500 0.3635  1 Nd 2.13

***

A relaxed BaNdNO crystal, computed with PBE.

V = 20.619 Å³ per atom
Symmetry = P4/nmm, No. 129
ΔE to the lowest computed polymorph = 0.750 eV/atom

Lattice parameters (Å, degrees): 4.3703 4.3703 8.6363 90.00 90.00 90.00
Last column: nearest neighbours and their distance in Å.
Atoms (fractional coordinates):
Ba1 0.2500 0.7500 0.5000  4 N 2.67
Ba2 0.7500 0.2500 0.5000  4 N 2.67
Nd1 0.7500 0.7500 0.8924  4 O 2.37
N1 0.7500 0.7500 0.3215  4 Ba 2.67
N2 0.2500 0.2500 0.6785  4 Ba 2.67
Nd2 0.2500 0.2500 0.1076  4 O 2.37
O1 0.7500 0.2500 0.0000  4 Nd 2.37
O2 0.2500 0.7500 0.0000  4 Nd 2.37

***

A relaxed BaNdNO crystal, computed with PBE.

V = 23.633 Å³ per atom
Symmetry = Pca2_1, No. 29
ΔE to the lowest computed polymorph = 0.124 eV/atom

Lattice parameters (Å, degrees): 7.0287 8.5359 6.3026 90.00 90.00 90.00
Last column: nearest neighbours and their distance in Å.
Atoms (fractional coordinates):
O1 0.6024 0.5948 0.6241  3 Nd 2.34-2.35
O2 0.3976 0.4052 0.1241  3 Nd 2.34-2.35
Nd1 0.4140 0.3883 0.4938  1 N 2.19, 3 O 2.34-2.35
Nd2 0.5860 0.6117 0.9938  1 N 2.19, 3 O 2.34-2.35
N1 0.4549 0.8360 0.0768  1 Nd 2.19
Ba1 0.0797 0.8712 0.0076  3 N 2.68-2.74, 1 O 2.78
Ba2 0.4203 0.8712 0.5076  3 N 2.68-2.74, 1 O 2.78
Ba3 0.9203 0.1288 0.5076  3 N 2.68-2.74, 1 O 2.78
Ba4 0.5797 0.1288 0.0076  3 N 2.68-2.74, 1 O 2.78
Nd3 0.0860 0.3883 0.9938  1 N 2.19, 3 O 2.34-2.35
N2 0.0451 0.8360 0.5768  1 Nd 2.19
N3 0.9549 0.1640 0.0768  1 Nd 2.19
O3 0.1024 0.4052 0.6241  3 Nd 2.34-2.35
N4 0.5450 0.1640 0.5768  1 Nd 2.19
O4 0.8976 0.5948 0.1241  3 Nd 2.34-2.35
Nd4 0.9140 0.6117 0.4938  1 N 2.19, 3 O 2.34-2.35

***

Number 1: total DFT energy (no corrections) -5.476 eV per atom. Number 2: total DFT energy (no corrections) -6.682 eV per atom. Number 3: total DFT energy (no corrections) -6.101 eV per atom. Number 4: total DFT energy (no corrections) -6.727 eV per atom.